1.
Compound: LiScTe2O6
Source: Alexandria
Functional: GGA-PBE
Structure: optimized geometry

The formation energy without anion corrections comes out at -1.698 eV/atom.

It has space group C2/c (No. 15), with a = 10.626 Å, b = 9.841 Å, c = 5.224 Å, α = 90.00°, β = 94.50° and γ = 90.00°. The inequivalent atoms are Li at (0.000, 0.129, 0.250), Sc at (0.000, 0.393, 0.750), Te at (0.232, 0.109, 0.730), O at (0.093, 0.223, 0.577), O at (0.124, 0.495, 0.501) and O at (0.145, 0.050, 0.065).

=====

2.
Compound: CaHS2
Source: Alexandria
Functional: GGA-PBE
Structure: optimized geometry

The offset from the most stable computed form comes out at 0.0 meV per atom.

It has space group R-3m (No. 166, hexagonal axes), with a = 4.3751 Å, b = 4.3751 Å, c = 17.0247 Å, α = 90.00°, β = 90.00° and γ = 120.00°. The inequivalent atoms are Ca at (0.0000, 0.0000, 0.0000), H at (0.0000, 0.0000, 0.5000) and S at (0.0000, 0.0000, 0.4070).

=====

3.
Compound: TiMnGa
Source: Alexandria
Functional: GGA-PBE
Structure: optimized geometry

The calculation puts the energy of formation at 4.60 kcal/mol of atoms.

It has space group F-43m (No. 216), with a = 5.824 Å, b = 5.824 Å, c = 5.824 Å, α = 90.00°, β = 90.00° and γ = 90.00°. The inequivalent atoms are Ti at (0.000, 0.000, 0.000), Mn at (0.250, 0.250, 0.250) and Ga at (0.000, 0.000, 0.500).

=====

4.
Compound: Sn4Te2I5
Source: Alexandria
Functional: GGA-PBE
Structure: optimized geometry

The formation energy without anion corrections comes out at -0.360 eV/atom.

It has space group P-1 (No. 2), with a = 4.425 Å, b = 10.444 Å, c = 12.396 Å, α = 86.27°, β = 90.00° and γ = 77.81°. The inequivalent atoms are Sn at (0.023, 0.460, 0.206), Sn at (0.337, 0.824, 0.601), Te at (0.486, 0.523, 0.630), I at (0.165, 0.172, 0.578), I at (0.168, 0.168, 0.200) and I at (0.500, 0.500, 0.000).

=====

5.
Compound: Mo2RuN2
Source: Alexandria
Functional: GGA-PBE
Structure: optimized geometry

The offset from the most stable computed form comes out at 390.3 meV per atom. The formation energy without anion corrections comes out at 0.677 eV/atom.

It has space group P4/mbm (No. 127), with a = 6.498 Å, b = 6.498 Å, c = 2.746 Å, α = 90.00°, β = 90.00° and γ = 90.00°. The inequivalent atoms are Mo at (0.143, 0.357, 0.000), Ru at (0.000, 0.000, 0.000) and N at (0.130, 0.630, 0.500).

=====

6.
Compound: KCaAc2Te4
Source: Alexandria
Functional: GGA-PBE
Structure: optimized geometry

The formation energy without anion corrections comes out at -1.489 eV/atom.

It has space group P2/m (No. 10), with a = 8.215 Å, b = 4.716 Å, c = 8.224 Å, α = 90.00°, β = 109.08° and γ = 90.00°. The inequivalent atoms are K at (0.000, 0.000, 0.000), Ca at (0.000, 0.500, 0.500), Ac at (0.500, 0.000, 0.500), Ac at (0.500, 0.500, 0.000), Te at (0.243, 0.000, 0.740) and Te at (0.253, 0.500, 0.260).

=====

Calculated electronic total energy (eV/atom), listed in the same order as above: -6.126; -4.158; -6.498; -3.091; -8.840; -4.474